# Sm4TmAs5 PBE optimized geometry
# Energy, eV/atom: -6.177
# V, Å³ per atom: 25.94
# Calculated formation energy, eV/atom: -1.52
data_Sm4TmAs5
_chemical_formula_sum 'Sm8 Tm2 As10'
_cell_length_a 9.359
_cell_length_b 9.359
_cell_length_c 5.923
_cell_angle_alpha 90.00
_cell_angle_beta 90.00
_cell_angle_gamma 90.00
_space_group_name_H-M_alt 'I 4/m'
_space_group_IT_number 87
_space_group_name_Hall '-I 4'
loop_
_atom_site_label
_atom_site_type_symbol
_atom_site_fract_x
_atom_site_fract_y
_atom_site_fract_z
Sm1 Sm 0.099 0.700 0.000
Tm1 Tm 0.000 0.000 0.500
As1 As 0.000 0.000 0.000
As2 As 0.099 0.705 0.500